No. 1
Entry from OQMD via LeMat-Bulk: SrDyGe2 after structural relaxation (PBE).

a b c (Å): 3.3474 6.6756 6.6756
angles (deg): 53.63 90.00 90.00
Closest atoms and distances in Å follow each position.
Element x y z (fractional)
Dy1 0.0000 0.8443 0.8443  3 Ge 2.80-3.09
Ge1 0.0000 0.4020 0.4020  1 Ge 2.47
Ge2 0.0000 0.6095 0.6095  1 Ge 2.47
Sr1 0.0000 0.1442 0.1442  3 Ge 3.04-3.07, 2 Sr 3.35

Calculated values
- DFT total energy (eV/atom) = -3.7709

No. 2
Entry from OQMD via LeMat-Bulk: TbDyTa2Ge2 after structural relaxation (PBE).

a b c (Å): 4.0333 4.0333 7.8707
angles (deg): 90.00 90.00 90.00
Closest atoms and distances in Å follow each position.
Element x y z (fractional)
Dy1 0.0000 0.0000 0.3510  5 Ge 2.97-3.17
Ge1 0.5000 0.5000 0.2457  4 Ta 2.79, 4 Dy 2.97
Ge2 0.0000 0.0000 0.7544  4 Ta 2.79, 4 Tb 2.97
Ta1 0.5000 0.0000 0.0000  4 Ge 2.79, 4 Ta 2.85
Ta2 0.0000 0.5000 0.0000  4 Ge 2.79, 4 Ta 2.85
Tb1 0.5000 0.5000 0.6487  5 Ge 2.97-3.17

Calculated values
- DFT total energy (eV/atom) = -7.6216

No. 3
Entry from OQMD via LeMat-Bulk: DyYTa2Ge2 after structural relaxation (PBE).

a b c (Å): 4.0269 4.0269 7.8509
angles (deg): 90.00 90.00 90.00
Closest atoms and distances in Å follow each position.
Element x y z (fractional)
Dy1 0.0000 0.0000 0.3511  5 Ge 2.97-3.17
Ge1 0.5000 0.5000 0.2457  4 Ta 2.79, 4 Dy 2.97
Ge2 0.0000 0.0000 0.7543  4 Ta 2.79, 4 Y 2.97
Ta1 0.5000 0.0000 0.0000  4 Ge 2.79, 4 Ta 2.85
Ta2 0.0000 0.5000 0.0000  4 Ge 2.79, 4 Ta 2.85
Y1 0.5000 0.5000 0.6489  5 Ge 2.97-3.16

Calculated values
- DFT total energy (eV/atom) = -7.9374

No. 4
Entry from OQMD via LeMat-Bulk: TbDyGe4 after structural relaxation (PBE).

a b c (Å): 3.9316 8.3573 8.3573
angles (deg): 28.15 90.00 90.00
Closest atoms and distances in Å follow each position.
Element x y z (fractional)
Dy1 0.0000 0.6035 0.6035  10 Ge 2.95-3.22
Ge1 0.5000 0.0523 0.0523  2 Ge 2.58
Ge2 0.0000 0.2463 0.2463  4 Ge 2.83, 2 Dy 3.08, 2 Tb 3.13
Ge3 0.5000 0.7526 0.7526  4 Ge 2.83, 2 Tb 3.09, 2 Dy 3.12
Ge4 0.0000 0.9491 0.9491  2 Ge 2.58
Tb1 0.5000 0.3962 0.3962  10 Ge 2.95-3.25

Calculated values
- DFT total energy (eV/atom) = -5.2370

No. 5
Entry from OQMD via LeMat-Bulk: DyTc4Ge2 after structural relaxation (PBE).

a b c (Å): 7.4501 7.4501 4.0881
angles (deg): 90.00 90.00 147.84
Closest atoms and distances in Å follow each position.
Element x y z (fractional)
Dy1 0.0000 0.0000 0.0000  8 Ge 3.16, 8 Tc 3.43-3.50
Ge1 0.5871 0.4129 0.5000  1 Ge 2.49, 4 Tc 2.55-2.59
Ge2 0.4129 0.5871 0.5000  1 Ge 2.49, 4 Tc 2.55-2.59
Tc1 0.6977 0.3023 0.0000  4 Tc 2.55-2.58, 2 Ge 2.59
Tc2 0.3023 0.6977 0.0000  4 Tc 2.55-2.58, 2 Ge 2.59
Tc3 0.8078 0.1922 0.5000  2 Ge 2.55, 4 Tc 2.58-2.65
Tc4 0.1922 0.8078 0.5000  2 Ge 2.55, 4 Tc 2.58-2.65

Calculated values
- DFT total energy (eV/atom) = -8.2866

No. 6
Entry from OQMD via LeMat-Bulk: DyTcGe after structural relaxation (PBE).

a b c (Å): 4.6222 4.6222 4.6222
angles (deg): 60.00 60.00 60.00
Closest atoms and distances in Å follow each position.
Element x y z (fractional)
Dy1 0.0000 0.0000 0.0000  4 Tc 2.83, 4 Ge 2.83
Ge1 0.2500 0.2500 0.2500  4 Dy 2.83
Tc1 0.7500 0.7500 0.7500  4 Dy 2.83

Calculated values
- ΔE to the lowest computed polymorph (eV/atom) = 0.880
- DFT total energy (eV/atom) = -5.6830

No. 7
Entry from OQMD via LeMat-Bulk: DyTcGe after structural relaxation (PBE).

a b c (Å): 4.4700 4.4700 4.4700
angles (deg): 60.00 60.00 60.00
Closest atoms and distances in Å follow each position.
Element x y z (fractional)
Dy1 0.2500 0.2500 0.2500  4 Ge 2.74
Ge1 0.0000 0.0000 0.0000  4 Tc 2.74, 4 Dy 2.74
Tc1 0.7500 0.7500 0.7500  4 Ge 2.74

Calculated values
- ΔE to the lowest computed polymorph (eV/atom) = 0.000
- DFT total energy (eV/atom) = -6.5633

No. 8
Entry from OQMD via LeMat-Bulk: Dy5GeTe5 after structural relaxation (PBE).

a b c (Å): 7.4923 7.4923 8.6072
angles (deg): 107.00 107.00 48.11
Closest atoms and distances in Å follow each position.
Element x y z (fractional)
Dy1 0.5000 0.5000 0.0000  2 Ge 3.05, 4 Te 3.08-3.09
Dy2 0.8432 0.8432 0.1598  1 Ge 2.90, 5 Te 3.03-3.18
Dy3 0.1561 0.1561 0.3178  1 Ge 2.88, 5 Te 3.03-3.15
Dy4 0.8439 0.8439 0.6822  1 Ge 2.88, 5 Te 3.03-3.15
Dy5 0.1568 0.1568 0.8402  1 Ge 2.90, 5 Te 3.03-3.18
Ge1 0.0000 0.0000 0.0000  6 Dy 2.88-3.05
Te1 0.3358 0.3358 0.1745  5 Dy 3.06-3.13
Te2 0.6712 0.6712 0.3363  5 Dy 3.06-3.18
Te3 0.0000 0.0000 0.5000  4 Dy 3.03
Te4 0.3288 0.3288 0.6637  5 Dy 3.06-3.18
Te5 0.6641 0.6641 0.8255  5 Dy 3.06-3.13

Calculated values
- DFT total energy (eV/atom) = -5.2786

No. 9
Entry from OQMD via LeMat-Bulk: Dy4GeTe3 after structural relaxation (PBE).

a b c (Å): 7.5034 7.5034 4.2850
angles (deg): 90.00 90.00 109.11
Closest atoms and distances in Å follow each position.
Element x y z (fractional)
Dy1 0.2234 0.2234 0.0000  2 Ge 2.89, 4 Te 3.07-3.22
Dy2 0.7766 0.7766 0.0000  2 Ge 2.89, 4 Te 3.07-3.22
Dy3 0.7665 0.2335 0.5000  1 Ge 2.85, 4 Te 3.06
Dy4 0.2335 0.7665 0.5000  1 Ge 2.85, 4 Te 3.06
Ge1 0.0000 0.0000 0.5000  6 Dy 2.85-2.89
Te1 0.5000 0.0000 0.0000  6 Dy 3.06-3.07
Te2 0.0000 0.5000 0.0000  6 Dy 3.06-3.07
Te3 0.5000 0.5000 0.5000  6 Dy 3.22-3.26

Calculated values
- DFT total energy (eV/atom) = -5.3394

No. 10
Entry from OQMD via LeMat-Bulk: DyThGe after structural relaxation (PBE).

a b c (Å): 5.2098 5.2098 5.2098
angles (deg): 60.00 60.00 60.00
Closest atoms and distances in Å follow each position.
Element x y z (fractional)
Dy1 0.0000 0.0000 0.0000  4 Th 3.19, 4 Ge 3.19
Ge1 0.2500 0.2500 0.2500  4 Dy 3.19
Th1 0.7500 0.7500 0.7500  4 Dy 3.19

Calculated values
- DFT total energy (eV/atom) = -4.9916

No. 11
Entry from OQMD via LeMat-Bulk: DyTmGe2 after structural relaxation (PBE).

a b c (Å): 4.2461 3.9439 5.7358
angles (deg): 90.00 111.71 90.00
Closest atoms and distances in Å follow each position.
Element x y z (fractional)
Dy1 0.9835 0.5000 0.4285  7 Ge 2.94-3.20
Ge1 0.5350 0.0000 0.5318  2 Ge 2.70, 1 Tm 2.94, 4 Dy 2.95
Ge2 0.7087 0.5000 0.8777  2 Ge 2.70, 1 Dy 2.94, 4 Tm 2.95
Tm1 0.2598 0.0000 0.9801  7 Ge 2.94-3.20

Calculated values
- DFT total energy (eV/atom) = -5.4352

No. 12
Entry from OQMD via LeMat-Bulk: DyTmGe4 after structural relaxation (PBE).

a b c (Å): 3.9121 8.2376 8.2376
angles (deg): 28.37 90.00 90.00
Closest atoms and distances in Å follow each position.
Element x y z (fractional)
Dy1 0.5000 0.6037 0.6037  10 Ge 2.93-3.24
Ge1 0.0000 0.0509 0.0509  2 Ge 2.58
Ge2 0.5000 0.2486 0.2486  4 Ge 2.81, 2 Dy 3.07, 2 Tm 3.07
Ge3 0.0000 0.7544 0.7544  4 Ge 2.81, 2 Tm 3.04, 2 Dy 3.10
Ge4 0.5000 0.9453 0.9453  2 Ge 2.58
Tm1 0.0000 0.3971 0.3971  10 Ge 2.91-3.18

Calculated values
- DFT total energy (eV/atom) = -5.1978

No. 13
Entry from OQMD via LeMat-Bulk: DyTmZn2Ge2 after structural relaxation (PBE).

a b c (Å): 4.2277 4.2277 15.4631
angles (deg): 90.00 90.00 120.00
Closest atoms and distances in Å follow each position.
Element x y z (fractional)
Dy1 0.0000 0.0000 0.0000  6 Ge 3.01, 6 Zn 3.37
Dy2 0.0000 0.0000 0.5000  6 Ge 3.01, 6 Zn 3.37
Ge1 0.6667 0.3333 0.1140  3 Zn 2.50
Ge2 0.6667 0.3333 0.3860  3 Zn 2.50
Ge3 0.3333 0.6667 0.6140  3 Zn 2.50
Ge4 0.3333 0.6667 0.8860  3 Zn 2.50
Tm1 0.0000 0.0000 0.2500  6 Zn 2.89, 6 Ge 3.22
Tm2 0.0000 0.0000 0.7500  6 Zn 2.89, 6 Ge 3.22
Zn1 0.3333 0.6667 0.1500  3 Ge 2.50
Zn2 0.3333 0.6667 0.3500  3 Ge 2.50
Zn3 0.6667 0.3333 0.6500  3 Ge 2.50
Zn4 0.6667 0.3333 0.8500  3 Ge 2.50

Calculated values
- ΔE to the lowest computed polymorph (eV/atom) = 0.000
- DFT total energy (eV/atom) = -4.1271

No. 14
Entry from OQMD via LeMat-Bulk: DyTmZr2Ge2 after structural relaxation (PBE).

a b c (Å): 4.1772 4.1772 7.8814
angles (deg): 90.00 90.00 90.00
Closest atoms and distances in Å follow each position.
Element x y z (fractional)
Dy1 0.0000 0.0000 0.3495  5 Ge 3.03
Ge1 0.5000 0.5000 0.2655  4 Zr 2.96, 4 Dy 3.03, 1 Tm 3.06
Ge2 0.0000 0.0000 0.7334  4 Zr 2.96, 4 Tm 3.02, 1 Dy 3.03
Tm1 0.5000 0.5000 0.6538  5 Ge 3.02-3.06
Zr1 0.5000 0.0000 0.9989  4 Zr 2.95, 4 Ge 2.96
Zr2 0.0000 0.5000 0.9989  4 Zr 2.95, 4 Ge 2.96

Calculated values
- DFT total energy (eV/atom) = -6.6080

No. 15
Entry from OQMD via LeMat-Bulk: DyYGe4 after structural relaxation (PBE).

a b c (Å): 3.9198 8.3555 8.3555
angles (deg): 27.99 90.00 90.00
Closest atoms and distances in Å follow each position.
Element x y z (fractional)
Dy1 0.0000 0.6038 0.6038  10 Ge 2.94-3.22
Ge1 0.5000 0.0519 0.0519  2 Ge 2.57
Ge2 0.0000 0.2471 0.2471  4 Ge 2.82, 2 Dy 3.08, 2 Y 3.11
Ge3 0.5000 0.7519 0.7519  4 Ge 2.82, 2 Y 3.09, 2 Dy 3.10
Ge4 0.0000 0.9495 0.9495  2 Ge 2.57
Y1 0.5000 0.3959 0.3959  10 Ge 2.95-3.24

Calculated values
- DFT total energy (eV/atom) = -5.5446

No. 16
Entry from OQMD via LeMat-Bulk: DyYGe2 after structural relaxation (PBE).

a b c (Å): 10.1448 10.1448 4.4992
angles (deg): 90.00 90.00 155.86
Closest atoms and distances in Å follow each position.
Element x y z (fractional)
Dy1 0.7469 0.2531 0.2500  4 Ge 2.95-2.96, 4 Dy 3.09
Dy2 0.2531 0.7469 0.7500  4 Ge 2.95-2.96, 4 Dy 3.09
Ge1 0.4734 0.5266 0.2500  3 Ge 2.44-2.48
Ge2 0.3503 0.6497 0.2500  1 Ge 2.44
Ge3 0.6497 0.3503 0.7500  1 Ge 2.44
Ge4 0.5266 0.4734 0.7500  3 Ge 2.44-2.48
Y1 0.0911 0.9089 0.2500  10 Ge 3.15-3.35
Y2 0.9089 0.0911 0.7500  10 Ge 3.15-3.35

Calculated values
- DFT total energy (eV/atom) = -5.6043

No. 17
Entry from OQMD via LeMat-Bulk: DyYGe2 after structural relaxation (PBE).

a b c (Å): 3.2611 6.4316 6.4316
angles (deg): 53.86 90.00 90.00
Closest atoms and distances in Å follow each position.
Element x y z (fractional)
Dy1 0.0000 0.1496 0.1496  3 Ge 2.79-2.95
Ge1 0.0000 0.3928 0.3928  1 Ge 2.45
Ge2 0.0000 0.6066 0.6066  1 Ge 2.45
Y1 0.0000 0.8510 0.8510  3 Ge 2.80-2.95

Calculated values
- DFT total energy (eV/atom) = -5.0361

No. 18
Entry from OQMD via LeMat-Bulk: DyYGe after structural relaxation (PBE).

a b c (Å): 4.8838 4.8838 4.8838
angles (deg): 60.00 60.00 60.00
Closest atoms and distances in Å follow each position.
Element x y z (fractional)
Dy1 0.2500 0.2500 0.2500  4 Ge 2.99
Ge1 0.0000 0.0000 0.0000  4 Y 2.99, 4 Dy 2.99
Y1 0.7500 0.7500 0.7500  4 Ge 2.99

Calculated values
- ΔE to the lowest computed polymorph (eV/atom) = 0.000
- DFT total energy (eV/atom) = -5.7838

No. 19
Entry from OQMD via LeMat-Bulk: DyYZr2Ge2 after structural relaxation (PBE).

a b c (Å): 4.1924 4.1924 7.9347
angles (deg): 90.00 90.00 90.00
Closest atoms and distances in Å follow each position.
Element x y z (fractional)
Dy1 0.5000 0.5000 0.6527  5 Ge 3.04-3.08
Ge1 0.5000 0.5000 0.2640  4 Zr 2.96, 4 Y 3.04, 1 Dy 3.08
Ge2 0.0000 0.0000 0.7356  4 Zr 2.96, 4 Dy 3.04, 1 Y 3.07
Y1 0.0000 0.0000 0.3482  5 Ge 3.04-3.07
Zr1 0.5000 0.0000 0.9997  4 Ge 2.96, 4 Zr 2.96
Zr2 0.0000 0.5000 0.9997  4 Ge 2.96, 4 Zr 2.96

Calculated values
- DFT total energy (eV/atom) = -6.9519

No. 20
Entry from OQMD via LeMat-Bulk: Dy4Zn5Ge6 after structural relaxation (PBE).

a b c (Å): 9.5454 9.5454 15.3100
angles (deg): 90.00 90.00 25.68
Closest atoms and distances in Å follow each position.
Element x y z (fractional)
Dy1 0.0325 0.0325 0.0000  6 Ge 3.02-3.13, 5 Zn 3.05-3.13
Dy2 0.0183 0.0183 0.2630  7 Ge 3.03-3.17, 3 Zn 3.16-3.26
Dy3 0.8246 0.8246 0.3182  6 Ge 2.89-2.96
Dy4 0.1675 0.1675 0.4593  6 Ge 2.94-3.03
Dy5 0.9675 0.9675 0.5001  6 Ge 3.02-3.13, 5 Zn 3.04-3.13
Dy6 0.9817 0.9817 0.7630  7 Ge 3.03-3.17, 3 Zn 3.16-3.26
Dy7 0.1754 0.1754 0.8182  6 Ge 2.89-2.96
Dy8 0.8325 0.8325 0.9593  6 Ge 2.94-3.03
Ge1 0.5672 0.5672 0.1339  5 Zn 2.60-2.75
Ge2 0.8877 0.8877 0.1454  4 Zn 2.51-2.67
Ge3 0.2228 0.2228 0.2772  4 Zn 2.52-2.56
Ge4 0.4311 0.4311 0.3565  1 Ge 2.52, 1 Zn 2.61
Ge5 0.5597 0.5597 0.4088  1 Ge 2.52, 2 Zn 2.57-2.61
Ge6 0.7720 0.7720 0.4976  4 Zn 2.52-2.55
Ge7 0.4328 0.4328 0.6339  5 Zn 2.60-2.75
Ge8 0.1123 0.1123 0.6454  4 Zn 2.51-2.67
Ge9 0.7772 0.7772 0.7772  4 Zn 2.52-2.56
Ge10 0.5689 0.5689 0.8565  1 Ge 2.52, 1 Zn 2.61
Ge11 0.4403 0.4403 0.9088  1 Ge 2.52, 2 Zn 2.57-2.61
Ge12 0.2280 0.2280 0.9976  4 Zn 2.52-2.55
Zn1 0.4348 0.4348 0.0791  4 Ge 2.51-2.61, 1 Zn 2.66
Zn2 0.1519 0.1519 0.1360  4 Ge 2.53-2.64, 1 Zn 2.77
Zn3 0.3005 0.3005 0.1389  4 Ge 2.55-2.67, 2 Zn 2.66-2.77
Zn4 0.6503 0.6503 0.2821  4 Ge 2.52-2.75
Zn5 0.3443 0.3443 0.4901  4 Ge 2.52-2.75
Zn6 0.5652 0.5652 0.5791  4 Ge 2.51-2.61, 1 Zn 2.66
Zn7 0.8481 0.8481 0.6360  4 Ge 2.53-2.64, 1 Zn 2.77
Zn8 0.6995 0.6995 0.6389  4 Ge 2.55-2.67, 2 Zn 2.66-2.77
Zn9 0.3497 0.3497 0.7821  4 Ge 2.52-2.75
Zn10 0.6557 0.6557 0.9901  4 Ge 2.52-2.75

Calculated values
- DFT total energy (eV/atom) = -4.0548